A PBEsol-optimized structure of CsB5O8. Source: Alexandria, functional meta-GGA SCAN.

Calculated values
- final energy (eV/atom) = -11.533
- magnetic moment (μB/cell) = 0.0
- raw formation energy (meV per atom) = -2618
- relative energy among the computed polymorphs (meV/atom) = 9

Unit cell a=8.7952 b=21.6526 c=8.8021 alpha=90.00 beta=90.00 gamma=90.00
With the nearest neighbours (Å) after each atom.
Space group Pbca (No. 61)
Symmetry-distinct sites (fractional):
Cs (0.0622, 0.1181, 0.1088)  8 O 3.01-3.30
B (0.0450, 0.7014, 0.0140)  3 O 1.35-1.39
B (0.1501, 0.1215, 0.5145)  4 O 1.47-1.49
B (0.1955, 0.0445, 0.7169)  3 O 1.35-1.39
B (0.2133, 0.2320, 0.5257)  3 O 1.35-1.40
B (0.2467, 0.5169, 0.4602)  3 O 1.35-1.39
O (0.9996, 0.1423, 0.4621)  2 B 1.35-1.47
O (0.0583, 0.2465, 0.5301)  2 B 1.39-1.40
O (0.1391, 0.0993, 0.6716)  2 B 1.35-1.47
O (0.1902, 0.0294, 0.8692)  2 B 1.38
O (0.1950, 0.7166, 0.0388)  2 B 1.38
O (0.2047, 0.0726, 0.4099)  2 B 1.35-1.48
O (0.2386, 0.6733, 0.5084)  2 B 1.35-1.49
O (0.2424, 0.5027, 0.6144)  2 B 1.39